First-principles (PBE with a Hubbard U) data for a relaxed structure of BaVC2O6, as listed in the Alexandria database.

## Properties
DOS at the Fermi energy: 0.0 states/eV per cell
DFT total energy: -7.673 eV/atom
SG: No. 148
Mass density: 3.82 g/cm³

Cell: 6.565 6.565 6.565 Å, 46.11 46.11 46.11°
Sites, in units of the cell vectors:
1 Ba 0.000 0.000 0.000
2 V 0.500 0.500 0.500
3 C 0.238 0.238 0.238
4 C 0.762 0.762 0.762
5 O 0.040 0.689 0.551
6 O 0.311 0.449 0.960
7 O 0.449 0.960 0.311
8 O 0.551 0.040 0.689
9 O 0.689 0.551 0.040
10 O 0.960 0.311 0.449